[1]
This record from OQMD via LeMat-Bulk describes an optimized crystal structure of Ho2PdPt. The functional is PBE.

As for the crystal system: orthorhombic. As for the volume: 174.7 Å³ per cell. The value obtained for the formation energy is -1.13 eV per atom. The density comes out at 12.00 Mg/m³.

Cell: 4.539 5.494 7.005 Å, 90.00 90.00 90.00°
Space group Pmc2_1 (No. 26)
Symmetry-distinct sites (fractional):
Ho 0.000 0.101 0.000 x2
Ho 0.500 0.390 0.634 x2
Pd 0.000 0.410 0.359 x2
Pt 0.500 0.098 0.273 x2


[2]
This record from OQMD via LeMat-Bulk describes an optimized crystal structure of ScZnCu4As2. The functional is PBE.

As for the crystal system: tetragonal. As for the volume: 118.5 Å³ per cell. The energy above the most stable polymorph in this dataset is 5 meV per atom. The density comes out at 7.21 Mg/m³.

Cell: 4.116 4.116 6.991 Å, 90.00 90.00 90.00°
Space group P4/mmm (No. 123)
Symmetry-distinct sites (fractional):
Sc 0.000 0.000 0.000 x1
Zn 0.500 0.500 0.500 x1
Cu 0.000 0.500 0.280 x4
As 0.000 0.000 0.500 x1
As 0.500 0.500 0.000 x1